# PBE-GGA LiMg2Zn2, relaxed
data_LiMg2Zn2
_chemical_formula_sum 'Li4 Mg8 Zn8'
_cell_length_a 9.953
_cell_length_b 4.564
_cell_length_c 8.280
_cell_angle_alpha 90.00
_cell_angle_beta 107.94
_cell_angle_gamma 90.00
_space_group_name_H-M_alt 'C 1 2/m 1'
_space_group_IT_number 12
loop_
_space_group_symop_operation_xyz
'x,y,z'
'-x,-y,-z'
'-x,y,-z'
'x,-y,z'
'x+1/2,y+1/2,z'
'-x+1/2,-y+1/2,-z'
'-x+1/2,y+1/2,-z'
'x+1/2,-y+1/2,z'
loop_
_atom_site_label
_atom_site_type_symbol
_atom_site_fract_x
_atom_site_fract_y
_atom_site_fract_z
_atom_site_occupancy
Li1 Li 0.236 0.000 0.289 1
Mg1 Mg 0.061 0.500 0.357 1
Mg2 Mg 0.162 0.500 0.049 1
Zn1 Zn 0.040 0.000 0.867 1
Zn2 Zn 0.129 0.000 0.598 1
# * energy of formation: -0.11 eV/atom
# * total magnetization: 0.000 μB/f.u.